A relaxed structure of RbFeSe2O8. Source: Alexandria, functional PBE with a Hubbard U.

Calculated volume in A^3/atom: 16.47
SG: R-3, No. 148
Total energy in eV for the cell shown: -65.79

abc: 5.093 5.093 9.279
angles: 74.07 74.07 60.00
Last column: magnetic moment on the atom in μB.
Fractional coordinates of all 12 atoms:
O (0.205, 0.205, 0.385)  0.00
O (0.747, 0.007, 0.863)  0.06
O (0.383, 0.747, 0.863)  0.06
O (0.253, 0.993, 0.137)  0.06
O (0.617, 0.253, 0.137)  0.06
O (0.007, 0.383, 0.863)  0.06
O (0.993, 0.617, 0.137)  0.06
O (0.795, 0.795, 0.615)  0.00
Se (0.733, 0.733, 0.802)  0.02
Se (0.267, 0.267, 0.198)  0.02
Rb (0.500, 0.500, 0.500)  0.00
Fe (0.000, 0.000, 0.000)  4.36